1.
Entry from Alexandria via LeMat-Bulk: a relaxed structure of SrEuCuP (PBE).

Calculated values
symmetry: F-43m
crystal system: cubic
density: 5.6 Mg/m³
uncorrected energy: -5.93 eV/atom

a b c (Å): 5.190 5.190 5.190
angles (deg): 60.00 60.00 60.00
Fractional positions:
P: 0.250 0.250 0.250
Cu: 0.750 0.750 0.750
Eu: 0.500 0.500 0.500
Sr: 0.000 0.000 0.000

2.
Entry from Alexandria via LeMat-Bulk: a relaxed structure of Eu3Zn2Cu2P4 (PBE).

Calculated values
symmetry: P-3m1
crystal system: trigonal
density: 6.4 Mg/m³
uncorrected energy: -6.56 eV/atom

a b c (Å): 4.072 4.072 15.152
angles (deg): 90.00 90.00 120.00
Fractional positions:
P: 0.667 0.333 0.607
P: 0.333 0.667 0.864
P: 0.333 0.667 0.393
P: 0.667 0.333 0.136
Eu: 0.000 0.000 0.272
Eu: 0.000 0.000 0.000
Eu: 0.000 0.000 0.728
Zn: 0.667 0.333 0.439
Zn: 0.333 0.667 0.561
Cu: 0.667 0.333 0.863
Cu: 0.333 0.667 0.137

3.
Entry from Alexandria via LeMat-Bulk: a relaxed structure of EuPaCu4 (PBE).

Calculated values
symmetry: F-43m
crystal system: cubic
density: 10.2 Mg/m³
uncorrected energy: -5.94 eV/atom

a b c (Å): 5.273 5.273 5.273
angles (deg): 60.00 60.00 60.00
Fractional positions:
Cu: 0.625 0.125 0.625
Cu: 0.625 0.625 0.625
Cu: 0.625 0.625 0.125
Cu: 0.125 0.625 0.625
Eu: 0.000 0.000 0.000
Pa: 0.250 0.250 0.250

4.
Entry from Alexandria via LeMat-Bulk: a relaxed structure of EuPaCuPt (PBE).

Calculated values
symmetry: F-43m
crystal system: cubic
density: 12.1 Mg/m³
uncorrected energy: -7.79 eV/atom

a b c (Å): 4.992 4.992 4.992
angles (deg): 60.00 60.00 60.00
Fractional positions:
Pt: 0.750 0.750 0.750
Pa: 0.500 0.500 0.500
Cu: 0.250 0.250 0.250
Eu: 0.000 0.000 0.000

5.
Entry from Alexandria via LeMat-Bulk: a relaxed structure of EuPaCuRh (PBE).

Calculated values
symmetry: F-43m
crystal system: cubic
density: 10.8 Mg/m³
uncorrected energy: -7.96 eV/atom

a b c (Å): 4.929 4.929 4.929
angles (deg): 60.00 60.00 60.00
Fractional positions:
Eu: 0.000 0.000 0.000
Cu: 0.250 0.250 0.250
Pa: 0.500 0.500 0.500
Rh: 0.750 0.750 0.750

6.
Entry from Alexandria via LeMat-Bulk: a relaxed structure of Eu2CuPb (PBE).

Calculated values
symmetry: P4/mmm
crystal system: tetragonal
density: 8.5 Mg/m³
uncorrected energy: -7.41 eV/atom

a b c (Å): 3.707 3.707 8.182
angles (deg): 90.00 90.00 90.00
Fractional positions:
Eu: 0.000 0.000 0.222
Eu: 0.000 0.000 0.778
Cu: 0.500 0.500 0.000
Pb: 0.500 0.500 0.500

7.
Entry from Alexandria via LeMat-Bulk: a relaxed structure of EuCuPb2 (PBE).

Calculated values
ΔE to the lowest computed polymorph: 0 meV/atom
symmetry: P4/mmm
crystal system: tetragonal
density: 10.0 Mg/m³

a b c (Å): 4.641 4.741 4.741
angles (deg): 90.00 90.00 90.00
Fractional positions:
Pb: 0.000 0.000 0.500
Pb: 0.000 0.500 0.000
Eu: 0.500 0.500 0.500
Cu: 0.500 0.000 0.000

8.
Entry from Alexandria via LeMat-Bulk: a relaxed structure of Eu2CuPb (PBE).

Calculated values
symmetry: R-3m
crystal system: trigonal
density: 7.0 Mg/m³
uncorrected energy: -7.00 eV/atom

a b c (Å): 3.894 3.894 10.684
angles (deg): 79.50 79.50 60.00
Fractional positions:
Cu: 0.500 0.500 0.500
Eu: 0.894 0.894 0.318
Eu: 0.106 0.106 0.682
Pb: 0.000 0.000 0.000

9.
Entry from Alexandria via LeMat-Bulk: a relaxed structure of EuCuPb2 (PBE).

Calculated values
ΔE to the lowest computed polymorph: 295 meV/atom
symmetry: R-3m
crystal system: trigonal
density: 8.6 Mg/m³

a b c (Å): 3.670 3.670 10.605
angles (deg): 80.04 80.04 60.00
Fractional positions:
Cu: 0.500 0.500 0.500
Eu: 0.000 0.000 0.000
Pb: 0.107 0.107 0.679
Pb: 0.893 0.893 0.321

10.
Entry from Alexandria via LeMat-Bulk: a relaxed structure of EuPuCuPb (PBE).

Calculated values
symmetry: F-43m
crystal system: cubic
density: 10.2 Mg/m³
uncorrected energy: -8.17 eV/atom

a b c (Å): 5.358 5.358 5.358
angles (deg): 60.00 60.00 60.00
Fractional positions:
Cu: 0.750 0.750 0.750
Eu: 0.000 0.000 0.000
Pu: 0.500 0.500 0.500
Pb: 0.250 0.250 0.250

11.
Entry from Alexandria via LeMat-Bulk: a relaxed structure of EuCuRhPb (PBE).

Calculated values
symmetry: F-43m
crystal system: cubic
density: 10.6 Mg/m³
uncorrected energy: -6.48 eV/atom

a b c (Å): 4.882 4.882 4.882
angles (deg): 60.00 60.00 60.00
Fractional positions:
Pb: 0.000 0.000 0.000
Cu: 0.250 0.250 0.250
Eu: 0.500 0.500 0.500
Rh: 0.750 0.750 0.750

12.
Entry from Alexandria via LeMat-Bulk: a relaxed structure of EuScCuPb (PBE).

Calculated values
symmetry: F-43m
crystal system: cubic
density: 7.9 Mg/m³
uncorrected energy: -6.34 eV/atom

a b c (Å): 5.180 5.180 5.180
angles (deg): 60.00 60.00 60.00
Fractional positions:
Sc: 0.500 0.500 0.500
Pb: 0.750 0.750 0.750
Cu: 0.250 0.250 0.250
Eu: 0.000 0.000 0.000

13.
Entry from Alexandria via LeMat-Bulk: a relaxed structure of SmEuCuPb (PBE).

Calculated values
symmetry: F-43m
crystal system: cubic
density: 8.6 Mg/m³
uncorrected energy: -6.01 eV/atom

a b c (Å): 5.381 5.381 5.381
angles (deg): 60.00 60.00 60.00
Fractional positions:
Sm: 0.000 0.000 0.000
Pb: 0.250 0.250 0.250
Cu: 0.750 0.750 0.750
Eu: 0.500 0.500 0.500

14.
Entry from Alexandria via LeMat-Bulk: a relaxed structure of TbEuCuPb (PBE).

Calculated values
symmetry: F-43m
crystal system: cubic
density: 9.0 Mg/m³
uncorrected energy: -5.98 eV/atom

a b c (Å): 5.332 5.332 5.332
angles (deg): 60.00 60.00 60.00
Fractional positions:
Tb: 0.500 0.500 0.500
Cu: 0.250 0.250 0.250
Eu: 0.000 0.000 0.000
Pb: 0.750 0.750 0.750

15.
Entry from Alexandria via LeMat-Bulk: a relaxed structure of EuTmCuPb (PBE).

Calculated values
symmetry: F-43m
crystal system: cubic
density: 9.4 Mg/m³
uncorrected energy: -5.93 eV/atom

a b c (Å): 5.288 5.288 5.288
angles (deg): 60.00 60.00 60.00
Fractional positions:
Pb: 0.250 0.250 0.250
Tm: 0.000 0.000 0.000
Cu: 0.750 0.750 0.750
Eu: 0.500 0.500 0.500

16.
Entry from Alexandria via LeMat-Bulk: a relaxed structure of EuCu4Pd (PBE).

Calculated values
ΔE to the lowest computed polymorph: 36 meV/atom
symmetry: F-43m
crystal system: cubic
density: 9.2 Mg/m³

a b c (Å): 5.082 5.082 5.082
angles (deg): 60.00 60.00 60.00
Fractional positions:
Pd: 0.250 0.250 0.250
Cu: 0.624 0.624 0.129
Cu: 0.129 0.624 0.624
Cu: 0.624 0.624 0.624
Cu: 0.624 0.129 0.624
Eu: 0.000 0.000 0.000

17.
Entry from Alexandria via LeMat-Bulk: a relaxed structure of EuCuPd2 (PBE).

Calculated values
symmetry: R-3m
crystal system: trigonal
density: 8.7 Mg/m³
uncorrected energy: -6.61 eV/atom

a b c (Å): 4.403 4.403 5.498
angles (deg): 66.39 66.39 60.00
Fractional positions:
Cu: 0.500 0.500 0.500
Pd: 0.204 0.204 0.387
Pd: 0.796 0.796 0.613
Eu: 0.000 0.000 0.000

18.
Entry from Alexandria via LeMat-Bulk: a relaxed structure of EuCuPd2 (PBE).

Calculated values
symmetry: P4/mmm
crystal system: tetragonal
density: 9.9 Mg/m³
uncorrected energy: -6.58 eV/atom

a b c (Å): 3.958 4.259 4.259
angles (deg): 90.00 90.00 90.00
Fractional positions:
Pd: 0.000 0.000 0.500
Pd: 0.000 0.500 0.000
Eu: 0.500 0.500 0.500
Cu: 0.500 0.000 0.000

19.
Entry from Alexandria via LeMat-Bulk: a relaxed structure of EuCuPd4 (PBE).

Calculated values
symmetry: F-43m
crystal system: cubic
density: 9.8 Mg/m³
uncorrected energy: -6.13 eV/atom

a b c (Å): 5.363 5.363 5.363
angles (deg): 60.00 60.00 60.00
Fractional positions:
Cu: 0.000 0.000 0.000
Eu: 0.250 0.250 0.250
Pd: 0.123 0.626 0.626
Pd: 0.626 0.626 0.626
Pd: 0.626 0.123 0.626
Pd: 0.626 0.626 0.123

20.
Entry from Alexandria via LeMat-Bulk: a relaxed structure of EuCu4Pd (PBE).

Calculated values
ΔE to the lowest computed polymorph: 0 meV/atom
symmetry: P-6m2
crystal system: hexagonal
density: 8.7 Mg/m³

a b c (Å): 4.225 5.174 5.174
angles (deg): 60.00 90.00 90.00
Fractional positions:
Eu: 0.000 0.000 0.000
Cu: 0.500 0.504 0.504
Cu: 0.000 0.667 0.667
Cu: 0.500 0.993 0.504
Cu: 0.500 0.504 0.993
Pd: 0.000 0.333 0.333

21.
Entry from Alexandria via LeMat-Bulk: a relaxed structure of PmEuCuPd (PBE).

Calculated values
symmetry: F-43m
crystal system: cubic
density: 8.3 Mg/m³
uncorrected energy: -6.49 eV/atom

a b c (Å): 5.095 5.095 5.095
angles (deg): 60.00 60.00 60.00
Fractional positions:
Eu: 0.750 0.750 0.750
Pm: 0.250 0.250 0.250
Pd: 0.500 0.500 0.500
Cu: 0.000 0.000 0.000

22.
Entry from Alexandria via LeMat-Bulk: a relaxed structure of PrEuCuPd (PBE).

Calculated values
symmetry: F-43m
crystal system: cubic
density: 8.0 Mg/m³
uncorrected energy: -6.48 eV/atom

a b c (Å): 5.135 5.135 5.135
angles (deg): 60.00 60.00 60.00
Fractional positions:
Eu: 0.000 0.000 0.000
Cu: 0.250 0.250 0.250
Pr: 0.500 0.500 0.500
Pd: 0.750 0.750 0.750

23.
Entry from Alexandria via LeMat-Bulk: a relaxed structure of EuCuSbPd (PBE).

Calculated values
symmetry: F-43m
crystal system: cubic
energy relative to the elements, uncorrected: -468 meV/atom
density: 9.1 Mg/m³

a b c (Å): 4.856 4.856 4.856
angles (deg): 60.00 60.00 60.00
Fractional positions:
Cu: 0.750 0.750 0.750
Pd: 0.250 0.250 0.250
Sb: 0.000 0.000 0.000
Eu: 0.500 0.500 0.500

24.
Entry from Alexandria via LeMat-Bulk: a relaxed structure of EuTmCuPd (PBE).

Calculated values
symmetry: F-43m
crystal system: cubic
density: 9.3 Mg/m³
uncorrected energy: -6.45 eV/atom

a b c (Å): 4.993 4.993 4.993
angles (deg): 60.00 60.00 60.00
Fractional positions:
Cu: 0.250 0.250 0.250
Eu: 0.000 0.000 0.000
Tm: 0.500 0.500 0.500
Pd: 0.750 0.750 0.750

25.
Entry from Alexandria via LeMat-Bulk: a relaxed structure of EuZrCuPd (PBE).

Calculated values
symmetry: F-43m
crystal system: cubic
density: 8.3 Mg/m³
uncorrected energy: -7.22 eV/atom

a b c (Å): 4.890 4.890 4.890
angles (deg): 60.00 60.00 60.00
Fractional positions:
Zr: 0.500 0.500 0.500
Pd: 0.750 0.750 0.750
Cu: 0.250 0.250 0.250
Eu: 0.000 0.000 0.000

26.
Entry from Alexandria via LeMat-Bulk: a relaxed structure of Pm2EuCu (PBE).

Calculated values
ΔE to the lowest computed polymorph: 0 meV/atom
symmetry: P4/mmm
crystal system: tetragonal
density: 7.0 Mg/m³

a b c (Å): 3.648 3.648 9.046
angles (deg): 90.00 90.00 90.00
Fractional positions:
Eu: 0.500 0.500 0.500
Pm: 0.000 0.000 0.814
Pm: 0.000 0.000 0.186
Cu: 0.500 0.500 0.000

27.
Entry from Alexandria via LeMat-Bulk: a relaxed structure of Pm2EuCu (PBE).

Calculated values
ΔE to the lowest computed polymorph: 132 meV/atom
symmetry: R-3m
crystal system: trigonal
density: 6.7 Mg/m³

a b c (Å): 3.952 3.952 9.602
angles (deg): 78.12 78.12 60.00
Fractional positions:
Pm: 0.271 0.271 0.186
Pm: 0.729 0.729 0.814
Cu: 0.000 0.000 0.000
Eu: 0.500 0.500 0.500

28.
Entry from Alexandria via LeMat-Bulk: a relaxed structure of Pm3EuCu (PBE).

Calculated values
symmetry: Pm-3m
crystal system: cubic
density: 6.2 Mg/m³
uncorrected energy: -5.61 eV/atom

a b c (Å): 5.597 5.597 5.597
angles (deg): 90.00 90.00 90.00
Fractional positions:
Pm: 0.000 0.000 0.500
Pm: 0.500 0.000 0.000
Pm: 0.000 0.500 0.000
Eu: 0.500 0.500 0.500
Cu: 0.000 0.000 0.000

29.
Entry from Alexandria via LeMat-Bulk: a relaxed structure of PmEuCuPt (PBE).

Calculated values
symmetry: F-43m
crystal system: cubic
density: 10.0 Mg/m³
uncorrected energy: -6.87 eV/atom

a b c (Å): 5.067 5.067 5.067
angles (deg): 60.00 60.00 60.00
Fractional positions:
Pm: 0.250 0.250 0.250
Cu: 0.000 0.000 0.000
Pt: 0.500 0.500 0.500
Eu: 0.750 0.750 0.750

30.
Entry from Alexandria via LeMat-Bulk: a relaxed structure of PrEuCu (PBE).

Calculated values
ΔE to the lowest computed polymorph: 0 meV/atom
symmetry: I4mm
crystal system: tetragonal
density: 6.8 Mg/m³

a b c (Å): 3.666 3.666 7.013
angles (deg): 105.15 105.15 90.00
Fractional positions:
Eu: 0.029 0.029 0.059
Cu: 0.673 0.673 0.346
Pr: 0.297 0.297 0.595